Record 1
The following is a GGA-PBE calculation of BaNaCO3 after structural relaxation, from Alexandria via LeMat-Bulk.

a = 5.5185 Å, b = 5.5185 Å, c = 8.8834 Å
α = 90.00°, β = 90.00°, γ = 120.00°
Space group P6_3/mmc (No. 194)
Symmetry-distinct sites (fractional):
Ba  0.3333  0.6667  0.2500
Na  0.0000  0.0000  0.0000
C  0.3333  0.6667  0.7500
O  0.1965  0.3930  0.7500

Energy = -6.241 eV/atom
Crystal system = hexagonal
Total moment = 0.0 μB/cell

Record 2
The following is a GGA-PBE calculation of BaNa3C4O12 after structural relaxation, from Alexandria via LeMat-Bulk.

a = 10.4665 Å, b = 10.4665 Å, c = 9.1935 Å
α = 90.00°, β = 90.00°, γ = 120.00°
Space group R32 (No. 155, hexagonal axes)
Symmetry-distinct sites (fractional):
Ba  0.0000  0.0000  0.0000
Na  0.0000  0.5483  0.0000
C  0.0000  0.0000  0.5000
C  0.0000  0.4497  0.5000
O  0.0000  0.5729  0.5000
O  0.0000  0.8775  0.5000
O  0.0056  0.2156  0.1740

Energy = -6.703 eV/atom
Crystal system = trigonal
Total moment = 9.0 μB/cell

Record 3
The following is a GGA-PBE calculation of Ba3Na3C5O15 after structural relaxation, from Alexandria via LeMat-Bulk.

a = 10.9862 Å, b = 10.9862 Å, c = 6.9463 Å
α = 90.00°, β = 90.00°, γ = 120.00°
Space group P6_3mc (No. 186)
Symmetry-distinct sites (fractional):
Ba  0.1585  0.3170  0.0000
Na  0.0506  0.5253  0.7001
C  0.0000  0.0000  0.1779
C  0.2049  0.4099  0.4617
C  0.3333  0.6667  0.0013
O  0.0683  0.1365  0.6753
O  0.0912  0.3878  0.3726
O  0.1966  0.5983  0.0013
O  0.2257  0.4514  0.6379

Energy = -6.980 eV/atom
Crystal system = hexagonal
Total moment = 2.1 μB/cell

Record 4
The following is a GGA-PBE calculation of Ba2NaC2O6 after structural relaxation, from Alexandria via LeMat-Bulk.

a = 9.928 Å, b = 5.386 Å, c = 7.090 Å
α = 90.00°, β = 121.63°, γ = 90.00°
Space group C2/m (No. 12)
Symmetry-distinct sites (fractional):
Ba  0.214  0.000  0.212
Na  0.000  0.000  0.500
C  0.051  0.500  0.269
O  0.027  0.286  0.792
O  0.205  0.500  0.343

Energy = -6.767 eV/atom
Crystal system = monoclinic
Total moment = 0.5 μB/cell